# 1
# La3SmTh4Se8

A relaxed structure of La3SmTh4Se8 (PBE, Alexandria via LeMat-Bulk).

Lattice parameters (Å, degrees): 8.399 8.551 8.397 119.39 120.00 90.01
Fractional coordinates of all 16 atoms:
Th1 0.500 0.000 0.500
Th2 0.000 0.000 0.000
Th3 0.500 0.000 0.000
Th4 0.000 0.000 0.500
Se1 0.249 0.246 0.498
Se2 0.248 0.750 0.496
Se3 0.752 0.250 0.504
Se4 0.755 0.751 0.003
Se5 0.248 0.751 0.003
Se6 0.751 0.754 0.502
Se7 0.245 0.249 0.997
Se8 0.752 0.249 0.997
La1 0.000 0.500 0.500
La2 0.500 0.500 0.500
La3 0.500 0.500 0.000
Sm1 0.000 0.500 0.000

# 2
# LaSm3Th2Se6

A relaxed structure of LaSm3Th2Se6 (PBE, Alexandria via LeMat-Bulk).

Lattice parameters (Å, degrees): 7.230 7.230 7.361 99.44 99.44 119.85
Fractional coordinates of all 12 atoms:
La1 0.000 0.000 0.000
Th1 0.333 0.667 0.000
Th2 0.667 0.333 0.000
Se1 0.747 0.747 0.254
Se2 0.253 0.253 0.746
Se3 0.086 0.424 0.259
Se4 0.424 0.086 0.259
Se5 0.576 0.914 0.741
Se6 0.914 0.576 0.741
Sm1 0.837 0.163 0.500
Sm2 0.500 0.500 0.500
Sm3 0.163 0.837 0.500

# 3
# LaSm2ThSe4

A relaxed structure of LaSm2ThSe4 (PBE, Alexandria via LeMat-Bulk).

Lattice parameters (Å, degrees): 4.184 7.346 7.286 70.82 90.00 90.00
Fractional coordinates of all 8 atoms:
Se1 0.000 0.758 0.744
Se2 0.000 0.242 0.256
Se3 0.500 0.757 0.250
Se4 0.500 0.243 0.750
Th1 0.000 0.500 0.500
Sm1 0.500 0.000 0.500
Sm2 0.000 0.000 0.000
La1 0.500 0.500 0.000

# 4
# La2SmTh3Se6

A relaxed structure of La2SmTh3Se6 (PBE, Alexandria via LeMat-Bulk).

Lattice parameters (Å, degrees): 4.237 8.461 9.519 104.21 102.86 90.00
Fractional coordinates of all 12 atoms:
Th1 0.500 0.500 0.000
Th2 0.168 0.834 0.336
Th3 0.832 0.166 0.664
Se1 0.334 0.414 0.668
Se2 0.664 0.079 0.329
Se3 0.998 0.245 0.996
Se4 0.002 0.755 0.004
Se5 0.666 0.586 0.332
Se6 0.336 0.921 0.671
La1 0.834 0.667 0.669
La2 0.166 0.333 0.331
Sm1 0.500 0.000 0.000

# 5
# LaSm3Th4Se8

A relaxed structure of LaSm3Th4Se8 (PBE, Alexandria via LeMat-Bulk).

Lattice parameters (Å, degrees): 8.304 8.512 8.303 119.18 120.00 90.00
Fractional coordinates of all 16 atoms:
Se1 0.256 0.253 0.005
Se2 0.251 0.747 0.995
Se3 0.252 0.256 0.504
Se4 0.251 0.747 0.502
Se5 0.749 0.253 0.005
Se6 0.748 0.744 0.496
Se7 0.744 0.747 0.995
Se8 0.749 0.253 0.498
Sm1 0.000 0.500 0.500
Sm2 0.500 0.500 0.500
Sm3 0.500 0.500 0.000
Th1 0.500 0.000 0.000
Th2 0.000 0.000 0.000
Th3 0.000 0.000 0.500
Th4 0.500 0.000 0.500
La1 0.000 0.500 0.000

# 6
# La3SmTl4Se8

A relaxed structure of La3SmTl4Se8 (PBE, Alexandria via LeMat-Bulk).

Lattice parameters (Å, degrees): 8.776 9.229 8.777 118.41 120.00 90.00
Fractional coordinates of all 16 atoms:
Se1 0.263 0.288 0.525
Se2 0.257 0.290 0.023
Se3 0.766 0.290 0.532
Se4 0.234 0.710 0.977
Se5 0.234 0.710 0.468
Se6 0.737 0.712 0.475
Se7 0.766 0.290 0.023
Se8 0.743 0.710 0.977
Tl1 0.500 0.000 0.500
Tl2 0.000 0.000 0.000
Tl3 0.500 0.000 0.000
Tl4 0.000 0.000 0.500
Sm1 0.000 0.500 0.000
La1 0.500 0.500 0.500
La2 0.500 0.500 0.000
La3 0.000 0.500 0.500

Number 1: DOS at the Fermi energy 0.383 states/eV/atom, formation energy (no corrections) -1744 meV per atom, energy -0.482 Ry/atom. Number 2: DOS at the Fermi energy 0.571 states/eV/atom, formation energy (no corrections) -1744 meV per atom, energy -0.464 Ry/atom. Number 3: DOS at the Fermi energy 0.518 states/eV/atom, formation energy (no corrections) -1786 meV per atom, energy -0.460 Ry/atom. Number 4: DOS at the Fermi energy 0.752 states/eV/atom, formation energy (no corrections) -1726 meV per atom, energy -0.481 Ry/atom. Number 5: DOS at the Fermi energy 0.338 states/eV/atom, formation energy (no corrections) -1696 meV per atom, energy -0.477 Ry/atom. Number 6: DOS at the Fermi energy 0.000 states/eV/atom, formation energy (no corrections) -1439 meV per atom, energy -0.367 Ry/atom.